1.
Crystalline ThTi2Si2 at its relaxed geometry, computed with PBE.

Cell lengths 4.0694, 4.0694, 11.5752 Å; angles 90.00, 90.00, 90.00 degrees
Space group I4/mmm (No. 139)
Asymmetric unit:
Th  0.0000  0.0000  0.0000
Ti  0.0000  0.5000  0.2500
Si  0.0000  0.0000  0.3934

Summary:
energy above the lowest structure with this stoichiometry	0.0000	eV per atom
raw formation energy	-0.722	eV/atom
calculated density	6.65	Mg/m³

---

2.
Crystalline Ba3AsPt at its relaxed geometry, computed with PBE.

Cell lengths 5.9879, 5.9879, 5.9879 Å; angles 90.00, 90.00, 90.00 degrees
Space group Pm-3m (No. 221)
Asymmetric unit:
Ba  0.0000  0.0000  0.5000
As  0.5000  0.5000  0.5000
Pt  0.0000  0.0000  0.0000

Summary:
energy above the lowest structure with this stoichiometry	0.3215	eV per atom
E_form	-0.518	eV per atom
calculated density	5.27	Mg/m³

---

3.
Crystalline TmCdNi at its relaxed geometry, computed with PBE.

Cell lengths 6.3917, 6.3917, 6.3917 Å; angles 90.00, 90.00, 90.00 degrees
Space group F-43m (No. 216)
Asymmetric unit:
Tm  0.0000  0.0000  0.0000
Cd  0.0000  0.0000  0.5000
Ni  0.2500  0.2500  0.7500

Summary:
E_form	-0.233	eV per atom
calculated density	8.65	Mg/m³

---

4.
Crystalline Li3NdSm2Te6 at its relaxed geometry, computed with PBE.

Cell lengths 7.6766, 13.2970, 7.5348 Å; angles 90.00, 109.85, 90.00 degrees
Space group C2/m (No. 12)
Asymmetric unit:
Li  0.0000  0.0000  0.0000
Li  0.0000  0.3336  0.0000
Nd  0.0000  0.5000  0.5000
Sm  0.0000  0.1667  0.5000
Te  0.2451  0.1681  0.2396
Te  0.2492  0.5000  0.2391

Summary:
raw formation energy	-1.298	eV/atom
calculated density	5.65	Mg/m³

---

The records above give, respectively, electronic total energy values of -7.533 -3.809 -3.955 -4.531 eV per atom.